(1)
A relaxed Al2TcNiHg crystal. Source: Alexandria via LeMat-Bulk, functional GGA-PBEsol.

Values from the calculation:
The energy relative to the elements comes out at 0.71 eV/atom. As for the space group: P4/mmm (123).

Lattice parameters (Å, degrees): 4.7752 4.7752 4.4079 90.00 90.00 90.00
With the nearest neighbours (Å) after each atom.
Sites, in units of the cell vectors:
Al  0.0000  0.5000  0.0000  2 Tc 2.39
Al  0.5000  0.0000  0.0000  2 Tc 2.39
Tc  0.0000  0.0000  0.0000  2 Ni 2.20, 4 Al 2.39
Ni  0.0000  0.0000  0.5000  2 Tc 2.20
Hg  0.5000  0.5000  0.5000  8 Al 3.25, 4 Ni 3.38

---

(2)
A relaxed SiMoRu2 crystal. Source: Alexandria via LeMat-Bulk, functional GGA-PBEsol.

Values from the calculation:
As for the formation energy (no corrections): 31 meV per atom. As for the space group: Cmmm (65).

Lattice parameters (Å, degrees): 2.7157 2.7157 8.1361 90.00 90.00 113.92
With the nearest neighbours (Å) after each atom.
Sites, in units of the cell vectors:
Si  0.0000  0.0000  0.0000  4 Ru 2.37
Mo  0.0000  0.0000  0.5000  4 Ru 2.66, 6 Mo 2.72-2.96
Ru  0.5000  0.5000  0.2279  2 Si 2.37
Ru  0.5000  0.5000  0.7721  2 Si 2.37

---

no.,electronic total energy (eV per atom)
1,-4.529
2,-9.433